[1]
This record from the Alexandria database describes MgSc2Ga2 after structural relaxation. The functional is PBE-GGA.

Structure (CIF):
```
data_MgSc2Ga2
_symmetry_space_group_name_H-M 'P 4/m b m'
_symmetry_Int_Tables_number 127
_symmetry_space_group_name_Hall '-P 4 2ab'
_cell_length_a 7.313
_cell_length_b 7.313
_cell_length_c 3.754
_cell_angle_alpha 90.00
_cell_angle_beta 90.00
_cell_angle_gamma 90.00
loop_
_atom_site_label
_atom_site_fract_x
_atom_site_fract_y
_atom_site_fract_z
_atom_site_occupancy
Mg1 0.000 0.000 0.000 1
Sc1 0.175 0.325 0.500 1
Ga1 0.124 0.624 0.000 1
```

Results
* ΔH_f (0 K): -0.51 eV/atom

---

[2]
This record from the Alexandria database describes MgSc3Ga after structural relaxation. The functional is PBE-GGA.

Structure (CIF):
```
data_MgSc3Ga
_symmetry_space_group_name_H-M 'P m -3 m'
_symmetry_Int_Tables_number 221
_symmetry_space_group_name_Hall '-P 4 2 3'
_cell_length_a 5.148
_cell_length_b 5.148
_cell_length_c 5.148
_cell_angle_alpha 90.00
_cell_angle_beta 90.00
_cell_angle_gamma 90.00
loop_
_atom_site_label
_atom_site_fract_x
_atom_site_fract_y
_atom_site_fract_z
_atom_site_occupancy
Mg1 0.000 0.000 0.000 1
Sc1 0.000 0.500 0.500 1
Ga1 0.500 0.500 0.500 1
```

Results
* ΔH_f (0 K): 0.13 eV/atom

---

[3]
This record from the Alexandria database describes MgSc3Ga after structural relaxation. The functional is PBE-GGA.

Structure (CIF):
```
data_MgSc3Ga
_symmetry_space_group_name_H-M 'P m -3 m'
_symmetry_Int_Tables_number 221
_symmetry_space_group_name_Hall '-P 4 2 3'
_cell_length_a 5.157
_cell_length_b 5.157
_cell_length_c 5.157
_cell_angle_alpha 90.00
_cell_angle_beta 90.00
_cell_angle_gamma 90.00
loop_
_atom_site_label
_atom_site_fract_x
_atom_site_fract_y
_atom_site_fract_z
_atom_site_occupancy
Mg1 0.000 0.000 0.000 1
Sc1 0.000 0.000 0.500 1
Ga1 0.500 0.500 0.500 1
```

Results
* ΔH_f (0 K): 0.74 eV/atom

---

[4]
This record from the Alexandria database describes MgScGa2 after structural relaxation. The functional is PBE-GGA.

Structure (CIF):
```
data_MgScGa2
_symmetry_space_group_name_H-M 'P 4/m m m'
_symmetry_Int_Tables_number 123
_symmetry_space_group_name_Hall '-P 4 2'
_cell_length_a 3.352
_cell_length_b 3.352
_cell_length_c 6.715
_cell_angle_alpha 90.00
_cell_angle_beta 90.00
_cell_angle_gamma 90.00
loop_
_atom_site_label
_atom_site_fract_x
_atom_site_fract_y
_atom_site_fract_z
_atom_site_occupancy
Mg1 0.000 0.000 0.000 1
Sc1 0.000 0.000 0.500 1
Ga1 0.500 0.500 0.242 1
```

Results
* ΔH_f (0 K): -0.36 eV/atom

---

[5]
This record from the Alexandria database describes MgScGa after structural relaxation. The functional is PBE-GGA.

Structure (CIF):
```
data_MgScGa
_symmetry_space_group_name_H-M 'P 3 m 1'
_symmetry_Int_Tables_number 156
_cell_length_a 4.7454
_cell_length_b 4.7454
_cell_length_c 6.0936
_cell_angle_alpha 90.00
_cell_angle_beta 90.00
_cell_angle_gamma 120.00
loop_
_symmetry_equiv_pos_as_xyz
'x,y,z'
'-y,x-y,z'
'-x+y,-x,z'
'-y,-x,z'
'-x+y,y,z'
'x,x-y,z'
loop_
_atom_site_label
_atom_site_fract_x
_atom_site_fract_y
_atom_site_fract_z
_atom_site_occupancy
Mg1 0.0000 0.0000 0.0000 1
Mg2 0.3333 0.6667 0.1939 1
Sc1 0.0000 0.0000 0.4953 1
Sc2 0.6667 0.3333 0.8087 1
Ga1 0.3333 0.6667 0.7007 1
Ga2 0.6667 0.3333 0.2997 1
```

Results
* ΔH_f (0 K): -0.33 eV/atom

---

[6]
This record from the Alexandria database describes Mg2ScGa6 after structural relaxation. The functional is PBE-GGA.

Structure (CIF):
```
data_Mg2ScGa6
_symmetry_space_group_name_H-M 'P 6/m m m'
_symmetry_Int_Tables_number 191
_symmetry_space_group_name_Hall '-P 6 2'
_cell_length_a 7.6975
_cell_length_b 7.6975
_cell_length_c 3.2224
_cell_angle_alpha 90.00
_cell_angle_beta 90.00
_cell_angle_gamma 120.00
loop_
_atom_site_label
_atom_site_fract_x
_atom_site_fract_y
_atom_site_fract_z
_atom_site_occupancy
Mg1 0.3333 0.6667 0.0000 1
Sc1 0.0000 0.0000 0.0000 1
Ga1 0.0000 0.3337 0.5000 1
```

Results
* ΔH_f (0 K): -0.24 eV/atom

---

[7]
This record from the Alexandria database describes Mg8ScGa6 after structural relaxation. The functional is PBE-GGA.

Structure (CIF):
```
data_Mg8ScGa6
_symmetry_space_group_name_H-M 'R -3'
_symmetry_Int_Tables_number 148
_symmetry_space_group_name_Hall '-R 3'
_cell_length_a 8.0314
_cell_length_b 8.0314
_cell_length_c 17.4281
_cell_angle_alpha 90.00
_cell_angle_beta 90.00
_cell_angle_gamma 120.00
loop_
_atom_site_label
_atom_site_fract_x
_atom_site_fract_y
_atom_site_fract_z
_atom_site_occupancy
Mg1 0.0000 0.0000 0.1654 1
Mg2 0.0023 0.3406 0.3859 1
Sc1 0.0000 0.0000 0.5000 1
Ga1 0.0007 0.3305 0.5572 1
```

Results
* ΔH_f (0 K): -0.10 eV/atom

---

[8]
This record from the Alexandria database describes MgScGa after structural relaxation. The functional is PBE-GGA.

Structure (CIF):
```
data_MgScGa
_symmetry_space_group_name_H-M 'P m m n'
_symmetry_Int_Tables_number 59
_cell_length_a 3.567
_cell_length_b 4.421
_cell_length_c 7.750
_cell_angle_alpha 90.00
_cell_angle_beta 90.00
_cell_angle_gamma 90.00
loop_
_symmetry_equiv_pos_as_xyz
'x,y,z'
'-x,-y,-z'
'-x+1/2,-y+1/2,z'
'x+1/2,y+1/2,-z'
'x+1/2,-y,-z'
'-x+1/2,y,z'
'-x,y+1/2,-z'
'x,-y+1/2,z'
loop_
_atom_site_label
_atom_site_fract_x
_atom_site_fract_y
_atom_site_fract_z
_atom_site_occupancy
Mg1 0.250 0.250 0.024 1
Sc1 0.250 0.750 0.631 1
Ga1 0.250 0.750 0.268 1
```

Results
* ΔH_f (0 K): -0.33 eV/atom

---

[9]
This record from the Alexandria database describes MgScGa2 after structural relaxation. The functional is PBE-GGA.

Structure (CIF):
```
data_MgScGa2
_symmetry_space_group_name_H-M 'P 4/m m m'
_symmetry_Int_Tables_number 123
_symmetry_space_group_name_Hall '-P 4 2'
_cell_length_a 4.242
_cell_length_b 4.242
_cell_length_c 4.065
_cell_angle_alpha 90.00
_cell_angle_beta 90.00
_cell_angle_gamma 90.00
loop_
_atom_site_label
_atom_site_fract_x
_atom_site_fract_y
_atom_site_fract_z
_atom_site_occupancy
Mg1 0.000 0.000 0.000 1
Sc1 0.500 0.500 0.000 1
Ga1 0.000 0.500 0.500 1
```

Results
* ΔH_f (0 K): -0.46 eV/atom

---

[10]
This record from the Alexandria database describes MgSc3Ga7 after structural relaxation. The functional is PBE-GGA.

Structure (CIF):
```
data_MgSc3Ga7
_symmetry_space_group_name_H-M 'C m c m'
_symmetry_Int_Tables_number 63
_symmetry_space_group_name_Hall '-C 2c 2'
_cell_length_a 3.600
_cell_length_b 18.898
_cell_length_c 12.664
_cell_angle_alpha 90.00
_cell_angle_beta 90.00
_cell_angle_gamma 90.00
loop_
_atom_site_label
_atom_site_fract_x
_atom_site_fract_y
_atom_site_fract_z
_atom_site_occupancy
Mg1 0.000 0.032 0.250 1
Sc1 0.000 0.110 0.532 1
Sc2 0.000 0.243 0.250 1
Ga1 0.000 0.254 0.569 1
Ga2 0.000 0.371 0.651 1
Ga3 0.000 0.396 0.250 1
Ga4 0.000 0.500 0.096 1
```

Results
* ΔH_f (0 K): -0.32 eV/atom

---

[11]
This record from the Alexandria database describes SmMgSc2Ga4 after structural relaxation. The functional is PBE-GGA.

Structure (CIF):
```
data_SmMgSc2Ga4
_symmetry_space_group_name_H-M 'R -3 m'
_symmetry_Int_Tables_number 166
_symmetry_space_group_name_Hall '-R 3 2"'
_cell_length_a 4.8035
_cell_length_b 4.8035
_cell_length_c 24.6012
_cell_angle_alpha 90.00
_cell_angle_beta 90.00
_cell_angle_gamma 120.00
loop_
_atom_site_label
_atom_site_fract_x
_atom_site_fract_y
_atom_site_fract_z
_atom_site_occupancy
Sm1 0.0000 0.0000 0.0000 1
Mg1 0.0000 0.0000 0.5000 1
Sc1 0.0000 0.0000 0.2432 1
Ga1 0.0000 0.0000 0.1261 1
Ga2 0.0000 0.0000 0.3799 1
```

Results
* ΔH_f (0 K): -0.46 eV/atom

---

[12]
This record from the Alexandria database describes MgScGaSn after structural relaxation. The functional is PBE-GGA.

Structure (CIF):
```
data_MgScGaSn
_symmetry_space_group_name_H-M 'F -4 3 m'
_symmetry_Int_Tables_number 216
_symmetry_space_group_name_Hall 'F -4 2 3'
_cell_length_a 7.002
_cell_length_b 7.002
_cell_length_c 7.002
_cell_angle_alpha 90.00
_cell_angle_beta 90.00
_cell_angle_gamma 90.00
loop_
_atom_site_label
_atom_site_fract_x
_atom_site_fract_y
_atom_site_fract_z
_atom_site_occupancy
Mg1 0.000 0.000 0.000 1
Sc1 0.000 0.000 0.500 1
Ga1 0.250 0.250 0.250 1
Sn1 0.250 0.250 0.750 1
```

Results
* ΔH_f (0 K): -0.25 eV/atom